## LaSmZnBi (PBE-GGA)

Data for an optimized crystal structure of LaSmZnBi.

The structure in extended XYZ format:
```
4
Lattice="-4.200 1.279 -3.244 -3.631 -3.828 -1.401 -5.065 0.168 2.030" Properties=species:S:1:pos:R:3 pbc="T T T"
La -3.224 -0.595 -0.654
Zn 0.000 0.000 0.000
Sm -9.672 -1.786 -1.961
Bi -6.448 -1.191 -1.308
```

Output
DOS(E_F) (states/eV/cell): 3.511
Calculated formation energy (eV/atom): -0.4836
Magnetic moment (Bohr magnetons per cell): 0.00
SG: F-43m, No. 216